1.
Below is a relaxed structure of HoEr2Tl, with properties calculated at the GGA-PBE level.

Output
The size of the total moment comes out at 1.36 μB per formula unit. The value obtained for the energy above the lowest structure with this stoichiometry is 16.9 kJ/mol of atoms. For the energy relative to the elements, the calculation gives -6 meV/atom.

The structure in CIF format:
```
data_HoEr2Tl
_chemical_formula_sum 'Ho4 Er8 Tl4'
_cell_length_a 7.673
_cell_length_b 7.673
_cell_length_c 7.673
_cell_angle_alpha 90.00
_cell_angle_beta 90.00
_cell_angle_gamma 90.00
_symmetry_space_group_name_H-M 'F m -3 m'
_symmetry_Int_Tables_number 225
_symmetry_space_group_name_Hall '-F 4 2 3'
loop_
_atom_site_label
_atom_site_fract_x
_atom_site_fract_y
_atom_site_fract_z
_atom_site_occupancy
Ho1 0.000 0.000 0.000 1
Er1 0.250 0.250 0.250 1
Tl1 0.000 0.000 0.500 1
```

---

2.
Below is a relaxed structure of Ho4MgGa3, with properties calculated at the GGA-PBE level.

Output
The size of the total moment comes out at 0.00 μB per formula unit. For the energy relative to the elements, the calculation gives -456 meV/atom.

The structure in CIF format:
```
data_Ho4MgGa3
_chemical_formula_sum 'Ho8 Mg2 Ga6'
_cell_length_a 10.182
_cell_length_b 7.169
_cell_length_c 5.092
_cell_angle_alpha 90.00
_cell_angle_beta 90.00
_cell_angle_gamma 90.00
_symmetry_space_group_name_H-M 'P m m a'
_symmetry_Int_Tables_number 51
loop_
_symmetry_equiv_pos_as_xyz
'x,y,z'
'-x,-y,-z'
'-x+1/2,-y,z'
'x+1/2,y,-z'
'x+1/2,-y,-z'
'-x+1/2,y,z'
'-x,y,-z'
'x,-y,z'
loop_
_atom_site_label
_atom_site_fract_x
_atom_site_fract_y
_atom_site_fract_z
_atom_site_occupancy
Ho1 0.000 0.242 0.000 1
Ho2 0.250 0.242 0.499 1
Mg1 0.000 0.500 0.500 1
Ga1 0.000 0.000 0.500 1
Ga2 0.250 0.000 0.999 1
Ga3 0.250 0.500 0.999 1
```

---

3.
Below is a relaxed structure of Al2IrAu, with properties calculated at the GGA-PBE level.

Output
The size of the total moment comes out at 0.00 μB per formula unit. For the energy relative to the elements, the calculation gives -118 meV/atom.

The structure in CIF format:
```
data_Al2IrAu
_chemical_formula_sum 'Al8 Ir4 Au4'
_cell_length_a 6.308
_cell_length_b 6.308
_cell_length_c 6.308
_cell_angle_alpha 90.00
_cell_angle_beta 90.00
_cell_angle_gamma 90.00
_symmetry_space_group_name_H-M 'F -4 3 m'
_symmetry_Int_Tables_number 216
_symmetry_space_group_name_Hall 'F -4 2 3'
loop_
_atom_site_label
_atom_site_fract_x
_atom_site_fract_y
_atom_site_fract_z
_atom_site_occupancy
Al1 0.000 0.000 0.000 1
Al2 0.250 0.250 0.250 1
Ir1 0.250 0.250 0.750 1
Au1 0.000 0.000 0.500 1
```

---

4.
Below is a relaxed structure of YPuIn2O8, with properties calculated at the GGA-PBE level.

Output
The size of the total moment comes out at 0.99 μB per formula unit. The energy is -184.6 eV for the cell shown.

The structure in CIF format:
```
data_YPuIn2O8
_chemical_formula_sum 'Y2 Pu2 In4 O16'
_cell_length_a 7.065
_cell_length_b 7.200
_cell_length_c 6.759
_cell_angle_alpha 90.00
_cell_angle_beta 90.00
_cell_angle_gamma 90.00
_symmetry_space_group_name_H-M 'C m m m'
_symmetry_Int_Tables_number 65
_symmetry_space_group_name_Hall '-C 2 2'
loop_
_atom_site_label
_atom_site_fract_x
_atom_site_fract_y
_atom_site_fract_z
_atom_site_occupancy
Y1 0.000 0.000 0.000 1
Pu1 0.000 0.000 0.500 1
In1 0.000 0.500 0.245 1
O1 0.000 0.184 0.281 1
O2 0.191 0.500 0.000 1
O3 0.203 0.500 0.500 1
```

---

5.
Below is a relaxed structure of CuPt5, with properties calculated at the GGA-PBE level.

Output
The size of the total moment comes out at 0.00 μB per formula unit. For the energy relative to the elements, the calculation gives -14 meV/atom.

The structure in CIF format:
```
data_CuPt5
_chemical_formula_sum 'Cu1 Pt5'
_cell_length_a 4.7855
_cell_length_b 4.7855
_cell_length_c 4.6221
_cell_angle_alpha 90.00
_cell_angle_beta 90.00
_cell_angle_gamma 120.00
_symmetry_space_group_name_H-M 'P -6 2 m'
_symmetry_Int_Tables_number 189
_symmetry_space_group_name_Hall 'P -6 -2'
loop_
_atom_site_label
_atom_site_fract_x
_atom_site_fract_y
_atom_site_fract_z
_atom_site_occupancy
Cu1 0.0000 0.0000 0.0000 1
Pt1 0.0000 0.6668 0.5000 1
Pt2 0.3333 0.6667 0.0000 1
```

---

6.
Below is a relaxed structure of NaPmPuBr6, with properties calculated at the GGA-PBE level.

Output
The size of the total moment comes out at 6.00 μB per formula unit. The energy is -90.2 eV for the cell shown.

The structure in CIF format:
```
data_NaPmPuBr6
_chemical_formula_sum 'Na2 Pm2 Pu2 Br12'
_cell_length_a 7.011
_cell_length_b 7.011
_cell_length_c 13.234
_cell_angle_alpha 90.00
_cell_angle_beta 90.00
_cell_angle_gamma 90.00
_symmetry_space_group_name_H-M 'P 42 n m'
_symmetry_Int_Tables_number 102
loop_
_symmetry_equiv_pos_as_xyz
'x,y,z'
'-y+1/2,x+1/2,z+1/2'
'-x,-y,z'
'y+1/2,-x+1/2,z+1/2'
'-x+1/2,y+1/2,z+1/2'
'y,x,z'
'x+1/2,-y+1/2,z+1/2'
'-y,-x,z'
loop_
_atom_site_label
_atom_site_fract_x
_atom_site_fract_y
_atom_site_fract_z
_atom_site_occupancy
Na1 0.000 0.000 0.000 1
Pm1 0.000 0.000 0.335 1
Pu1 0.000 0.000 0.665 1
Br1 0.197 0.197 0.171 1
Br2 0.197 0.197 0.495 1
Br3 0.206 0.206 0.832 1
```

---

7.
Below is a relaxed structure of Dy2Pd4Pb, with properties calculated at the GGA-PBE level.

Output
The size of the total moment comes out at 0.00 μB per formula unit. For the energy relative to the elements, the calculation gives -715 meV/atom.

The structure in CIF format:
```
data_Dy2Pd4Pb
_chemical_formula_sum 'Dy4 Pd8 Pb2'
_cell_length_a 4.075
_cell_length_b 4.075
_cell_length_c 18.425
_cell_angle_alpha 90.00
_cell_angle_beta 90.00
_cell_angle_gamma 90.00
_symmetry_space_group_name_H-M 'I 4/m m m'
_symmetry_Int_Tables_number 139
_symmetry_space_group_name_Hall '-I 4 2'
loop_
_atom_site_label
_atom_site_fract_x
_atom_site_fract_y
_atom_site_fract_z
_atom_site_occupancy
Dy1 0.000 0.000 0.130 1
Pd1 0.000 0.000 0.354 1
Pd2 0.000 0.500 0.250 1
Pb1 0.000 0.000 0.500 1
```

---

8.
Below is a relaxed structure of TbAsRh, with properties calculated at the GGA-PBE level.

Output
The size of the total moment comes out at 0.00 μB per formula unit. For the energy relative to the elements, the calculation gives -631 meV/atom.

The structure in CIF format:
```
data_TbAsRh
_chemical_formula_sum 'Tb2 As2 Rh2'
_cell_length_a 3.828
_cell_length_b 3.828
_cell_length_c 8.444
_cell_angle_alpha 90.00
_cell_angle_beta 90.00
_cell_angle_gamma 90.00
_symmetry_space_group_name_H-M 'I 4 m m'
_symmetry_Int_Tables_number 107
_symmetry_space_group_name_Hall 'I 4 -2'
loop_
_atom_site_label
_atom_site_fract_x
_atom_site_fract_y
_atom_site_fract_z
_atom_site_occupancy
Tb1 0.000 0.000 0.000 1
As1 0.000 0.000 0.335 1
Rh1 0.000 0.000 0.632 1
```